First-principles (PBE) data for an optimized crystal structure of CsNaTlSe, as listed in Alexandria.

## Properties
The symmetry is P4/nmm, No. 129. The formation energy from raw total energies is -0.68 eV per atom.

Lattice parameters (Å, degrees): 4.668 4.668 15.051 90.00 90.00 90.00
Positions (direct):
Tl  0.750  0.250  0.500
Tl  0.250  0.750  0.500
Se  0.250  0.250  0.117
Se  0.750  0.750  0.883
Cs  0.750  0.750  0.218
Cs  0.250  0.250  0.782
Na  0.750  0.250  0.000
Na  0.250  0.750  0.000

First-principles (PBE) data for an optimized crystal structure of Cs2NaTl2Se4, as listed in Alexandria.

## Properties
The symmetry is C2/m, No. 12. The formation energy from raw total energies is -0.73 eV per atom.

Lattice parameters (Å, degrees): 4.827 8.804 8.290 106.70 90.00 105.91
Positions (direct):
Na  0.000  0.000  0.000
Cs  0.123  0.246  0.546
Cs  0.877  0.754  0.454
Se  0.791  0.582  0.823
Se  0.516  0.033  0.762
Se  0.209  0.418  0.177
Se  0.484  0.967  0.238
Tl  0.339  0.679  0.999
Tl  0.661  0.321  0.001

First-principles (PBE) data for an optimized crystal structure of CsNaTmSe2, as listed in Alexandria.

## Properties
The symmetry is Cmme, No. 67. The formation energy from raw total energies is -1.15 eV per atom.

Lattice parameters (Å, degrees): 7.067 7.368 8.780 114.81 90.00 90.00
Positions (direct):
Na  0.000  0.500  0.000
Na  0.000  0.000  0.000
Cs  0.261  0.750  0.500
Cs  0.739  0.250  0.500
Se  0.330  0.103  0.207
Se  0.670  0.897  0.793
Se  0.330  0.397  0.793
Se  0.670  0.603  0.207
Tm  0.500  0.250  0.000
Tm  0.500  0.750  0.000

First-principles (PBE) data for an optimized crystal structure of Cs3Na2USe6, as listed in Alexandria.

## Properties
The symmetry is C2/m, No. 12. The formation energy from raw total energies is -1.07 eV per atom.

Lattice parameters (Å, degrees): 7.723 7.723 8.521 98.38 98.38 120.00
Positions (direct):
Se  0.646  0.937  0.816
Se  0.778  0.778  0.195
Se  0.063  0.354  0.184
Se  0.222  0.222  0.805
Se  0.937  0.646  0.816
Se  0.354  0.063  0.184
Cs  0.820  0.180  0.500
Cs  0.500  0.500  0.500
Cs  0.180  0.820  0.500
Na  0.336  0.664  0.000
Na  0.664  0.336  0.000
U  0.000  0.000  0.000

First-principles (PBE) data for an optimized crystal structure of Cs3NaU2Se9, as listed in Alexandria.

## Properties
The symmetry is P-3m1, No. 164. The formation energy from raw total energies is -1.02 eV per atom.

Lattice parameters (Å, degrees): 7.810 7.810 9.789 90.00 90.00 120.00
Positions (direct):
Se  0.826  0.174  0.686
Se  0.826  0.652  0.686
Se  0.500  0.000  0.000
Se  0.000  0.500  0.000
Se  0.174  0.826  0.314
Se  0.500  0.500  0.000
Se  0.348  0.174  0.686
Se  0.652  0.826  0.314
Se  0.174  0.348  0.314
Cs  0.667  0.333  0.347
Cs  0.333  0.667  0.653
Cs  0.000  0.000  0.000
U  0.667  0.333  0.837
U  0.333  0.667  0.163
Na  0.000  0.000  0.500

First-principles (PBE) data for an optimized crystal structure of CsNa2U3Se8, as listed in Alexandria.

## Properties
The symmetry is R3m, No. 160. The formation energy from raw total energies is -1.16 eV per atom.

Lattice parameters (Å, degrees): 8.429 8.429 9.907 64.82 64.82 60.00
Positions (direct):
U  0.510  0.510  0.966
U  0.014  0.510  0.966
U  0.510  0.014  0.966
Se  0.252  0.713  0.784
Se  0.252  0.252  0.784
Se  0.774  0.774  0.139
Se  0.312  0.774  0.139
Se  0.774  0.312  0.139
Se  0.713  0.252  0.784
Se  0.734  0.734  0.799
Se  0.286  0.286  0.143
Cs  0.864  0.864  0.408
Na  0.479  0.479  0.563
Na  0.019  0.019  0.942

First-principles (PBE) data for an optimized crystal structure of Cs3NaU3Se8, as listed in Alexandria.

## Properties
The symmetry is R-3m, No. 166. The formation energy from raw total energies is -1.24 eV per atom.

Lattice parameters (Å, degrees): 8.513 8.512 9.737 115.94 90.00 120.00
Positions (direct):
Se  0.761  0.521  0.317
Se  0.296  0.057  0.317
Se  0.761  0.057  0.317
Se  0.239  0.943  0.683
Se  0.729  0.457  0.686
Se  0.704  0.943  0.683
Se  0.239  0.479  0.683
Se  0.271  0.543  0.314
Cs  0.000  0.000  0.000
Cs  0.000  0.500  0.000
Cs  0.500  0.500  0.000
U  0.500  0.500  0.500
U  0.500  0.000  0.500
U  0.000  0.500  0.500
Na  0.000  0.000  0.500

First-principles (PBE) data for an optimized crystal structure of Cs2Na3USe6, as listed in Alexandria.

## Properties
The symmetry is C2/m, No. 12. The formation energy from raw total energies is -1.04 eV per atom.

Lattice parameters (Å, degrees): 8.961 8.961 7.212 99.91 99.91 126.50
Positions (direct):
Se  0.675  0.916  0.751
Se  0.916  0.675  0.751
Se  0.767  0.767  0.189
Se  0.233  0.233  0.811
Se  0.084  0.325  0.249
Se  0.325  0.084  0.249
Cs  0.317  0.683  0.000
Cs  0.683  0.317  0.000
Na  0.500  0.500  0.500
Na  0.889  0.111  0.500
Na  0.111  0.889  0.500
U  0.000  0.000  0.000

First-principles (PBE) data for an optimized crystal structure of CsNaUSe3, as listed in Alexandria.

## Properties
The symmetry is P2_1/m, No. 11. The formation energy from raw total energies is -1.18 eV per atom.

Lattice parameters (Å, degrees): 4.387 9.623 10.394 108.82 90.00 90.00
Positions (direct):
Cs  0.250  0.232  0.263
Cs  0.750  0.768  0.737
Na  0.750  0.931  0.396
Na  0.250  0.069  0.604
Se  0.750  0.236  0.572
Se  0.250  0.524  0.857
Se  0.750  0.476  0.143
Se  0.250  0.145  0.887
Se  0.750  0.855  0.113
Se  0.250  0.764  0.428
U  0.250  0.674  0.144
U  0.750  0.326  0.856

First-principles (PBE) data for an optimized crystal structure of CsNa2VSe4, as listed in Alexandria.

## Properties
The symmetry is I-42m, No. 121. The formation energy from raw total energies is -0.96 eV per atom.

Lattice parameters (Å, degrees): 7.061 7.061 7.061 115.35 115.35 98.27
Positions (direct):
Se  0.967  0.319  0.000
Se  0.319  0.967  0.000
Se  0.033  0.033  0.353
Se  0.681  0.681  0.647
Na  0.750  0.250  0.500
Na  0.250  0.750  0.500
V  0.000  0.000  0.000
Cs  0.500  0.500  0.000